First-principles (GGA-PBE) data for a geometry-optimized NaFeTc2Ir structure, as listed in Alexandria.

Cell and atoms, written as CIF:
```
data_NaFeTc2Ir
_chemical_formula_sum 'Na1 Fe1 Tc2 Ir1'
_space_group_name_H-M_alt 'P 4/m m m'
_space_group_IT_number 123
_space_group_name_Hall '-P 4 2'
_cell_length_a 4.366
_cell_length_b 4.366
_cell_length_c 4.102
_cell_angle_alpha 90.00
_cell_angle_beta 90.00
_cell_angle_gamma 90.00
loop_
_atom_site_label
_atom_site_type_symbol
_atom_site_fract_x
_atom_site_fract_y
_atom_site_fract_z
Na1 Na 0.000 0.000 0.000
Fe1 Fe 0.000 0.000 0.500
Tc1 Tc 0.000 0.500 0.000
Ir1 Ir 0.500 0.500 0.500
```

First-principles (GGA-PBE) data for a geometry-optimized NaTi2FeIr structure, as listed in Alexandria.

Cell and atoms, written as CIF:
```
data_NaTi2FeIr
_chemical_formula_sum 'Na1 Ti2 Fe1 Ir1'
_space_group_name_H-M_alt 'P 4/m m m'
_space_group_IT_number 123
_space_group_name_Hall '-P 4 2'
_cell_length_a 4.362
_cell_length_b 4.362
_cell_length_c 4.589
_cell_angle_alpha 90.00
_cell_angle_beta 90.00
_cell_angle_gamma 90.00
loop_
_atom_site_label
_atom_site_type_symbol
_atom_site_fract_x
_atom_site_fract_y
_atom_site_fract_z
Na1 Na 0.000 0.000 0.000
Ti1 Ti 0.000 0.500 0.500
Fe1 Fe 0.000 0.000 0.500
Ir1 Ir 0.500 0.500 0.000
```

First-principles (GGA-PBE) data for a geometry-optimized NaV2FeIr structure, as listed in Alexandria.

Cell and atoms, written as CIF:
```
data_NaV2FeIr
_chemical_formula_sum 'Na1 V2 Fe1 Ir1'
_space_group_name_H-M_alt 'P 4/m m m'
_space_group_IT_number 123
_space_group_name_Hall '-P 4 2'
_cell_length_a 4.245
_cell_length_b 4.245
_cell_length_c 4.427
_cell_angle_alpha 90.00
_cell_angle_beta 90.00
_cell_angle_gamma 90.00
loop_
_atom_site_label
_atom_site_type_symbol
_atom_site_fract_x
_atom_site_fract_y
_atom_site_fract_z
Na1 Na 0.000 0.000 0.000
V1 V 0.000 0.500 0.000
Fe1 Fe 0.500 0.500 0.500
Ir1 Ir 0.000 0.000 0.500
```

ΔH_f (0 K) list, top to bottom, in eV/atom: 2.51, 0.81, 2.41
Total moment list, top to bottom, in μB per formula unit: 1.47, 0.00, 0.06